Here is an optimized crystal structure of Dy3ScIr2 from the Alexandria database. Energies are from PBE-GGA.

Computed properties:
Crystal system   orthorhombic
N(E_F)   0.8603 states/eV/atom
Formation energy   -0.65 eV/atom
Final energy   -6.96 eV/atom

```
data_Dy3ScIr2
_cell_length_a 6.627
_cell_length_b 13.306
_cell_length_c 7.040
_cell_angle_alpha 90.00
_cell_angle_beta 90.00
_cell_angle_gamma 90.00
_space_group_name_H-M_alt 'I b a m'
_space_group_IT_number 72
_space_group_name_Hall '-I 2 2c'
loop_
_atom_site_label
_atom_site_fract_x
_atom_site_fract_y
_atom_site_fract_z
_atom_site_occupancy
Dy1 0.000 0.000 0.250 1
Dy2 0.000 0.270 0.250 1
Sc1 0.000 0.500 0.000 1
Ir1 0.219 0.135 0.000 1
```